(1)
# LiSn2IrW, optimized geometry, DFT PBE-GGA
data_LiSn2IrW
_chemical_formula_sum 'Li1 Sn2 Ir1 W1'
_symmetry_space_group_name_H-M 'P 4/m m m'
_symmetry_Int_Tables_number 123
_symmetry_space_group_name_Hall '-P 4 2'
_cell_length_a 5.147
_cell_length_b 5.147
_cell_length_c 4.999
_cell_angle_alpha 90.00
_cell_angle_beta 90.00
_cell_angle_gamma 90.00
loop_
_atom_site_label
_atom_site_type_symbol
_atom_site_fract_x
_atom_site_fract_y
_atom_site_fract_z
Li1 Li 0.000 0.000 0.000
Sn1 Sn 0.000 0.500 0.500
Ir1 Ir 0.500 0.500 0.500
W1 W 0.500 0.500 0.000
# Crystal system: tetragonal
# Energy, eV/atom: -5.4317

(2)
# Tm3Ge5Te12, optimized geometry, DFT PBE-GGA
data_Tm3Ge5Te12
_chemical_formula_sum 'Tm24 Ge40 Te96'
_symmetry_space_group_name_H-M 'I a -3 d'
_symmetry_Int_Tables_number 230
_symmetry_space_group_name_Hall '-I 4bd 2c 3'
_cell_length_a 17.283
_cell_length_b 17.283
_cell_length_c 17.283
_cell_angle_alpha 90.00
_cell_angle_beta 90.00
_cell_angle_gamma 90.00
loop_
_atom_site_label
_atom_site_type_symbol
_atom_site_fract_x
_atom_site_fract_y
_atom_site_fract_z
Tm1 Tm 0.000 0.250 0.125
Ge1 Ge 0.000 0.000 0.000
Ge2 Ge 0.000 0.250 0.375
Te1 Te 0.021 0.065 0.654
# Crystal system: cubic
# E_form (uncorrected), eV/atom: -0.447
# Energy, eV/atom: -4.1570

(3)
# Cs2UTl3Se6, optimized geometry, DFT PBE-GGA
data_Cs2UTl3Se6
_chemical_formula_sum 'Cs4 U2 Tl6 Se12'
_symmetry_space_group_name_H-M 'C 1 2/m 1'
_symmetry_Int_Tables_number 12
_cell_length_a 8.336
_cell_length_b 15.873
_cell_length_c 7.527
_cell_angle_alpha 90.00
_cell_angle_beta 115.30
_cell_angle_gamma 90.00
loop_
_symmetry_equiv_pos_as_xyz
'x,y,z'
'-x,-y,-z'
'-x,y,-z'
'x,-y,z'
'x+1/2,y+1/2,z'
'-x+1/2,-y+1/2,-z'
'-x+1/2,y+1/2,-z'
'x+1/2,-y+1/2,z'
loop_
_atom_site_label
_atom_site_type_symbol
_atom_site_fract_x
_atom_site_fract_y
_atom_site_fract_z
Cs1 Cs 0.000 0.178 0.000
U1 U 0.000 0.500 0.000
Tl1 Tl 0.000 0.000 0.500
Tl2 Tl 0.000 0.367 0.500
Se1 Se 0.203 0.500 0.794
Se2 Se 0.213 0.377 0.235
# Crystal system: monoclinic
# E_form (uncorrected), eV/atom: -0.819
# Energy, eV/atom: -4.2353

(4)
# TiCdWS2, optimized geometry, DFT PBE-GGA
data_TiCdWS2
_chemical_formula_sum 'Ti1 Cd1 W1 S2'
_symmetry_space_group_name_H-M 'P 4/m m m'
_symmetry_Int_Tables_number 123
_symmetry_space_group_name_Hall '-P 4 2'
_cell_length_a 4.618
_cell_length_b 4.618
_cell_length_c 5.180
_cell_angle_alpha 90.00
_cell_angle_beta 90.00
_cell_angle_gamma 90.00
loop_
_atom_site_label
_atom_site_type_symbol
_atom_site_fract_x
_atom_site_fract_y
_atom_site_fract_z
Ti1 Ti 0.000 0.000 0.000
Cd1 Cd 0.500 0.500 0.000
W1 W 0.000 0.000 0.500
S1 S 0.000 0.500 0.500
# Crystal system: tetragonal
# E_form (uncorrected), eV/atom: 0.325
# Energy, eV/atom: -5.6782

(5)
# Tc2BIr, optimized geometry, DFT PBE-GGA
data_Tc2BIr
_chemical_formula_sum 'Tc8 B4 Ir4'
_symmetry_space_group_name_H-M 'I -4 2 d'
_symmetry_Int_Tables_number 122
_symmetry_space_group_name_Hall 'I -4 2bw'
_cell_length_a 5.001
_cell_length_b 5.001
_cell_length_c 10.726
_cell_angle_alpha 90.00
_cell_angle_beta 90.00
_cell_angle_gamma 90.00
loop_
_atom_site_label
_atom_site_type_symbol
_atom_site_fract_x
_atom_site_fract_y
_atom_site_fract_z
Tc1 Tc 0.187 0.250 0.125
B1 B 0.000 0.000 0.000
Ir1 Ir 0.000 0.000 0.500
# Crystal system: tetragonal
# Energy, eV/atom: -8.3007

(6)
# TiSb2TePt, optimized geometry, DFT PBE-GGA
data_TiSb2TePt
_chemical_formula_sum 'Ti1 Sb2 Te1 Pt1'
_symmetry_space_group_name_H-M 'P 4/m m m'
_symmetry_Int_Tables_number 123
_symmetry_space_group_name_Hall '-P 4 2'
_cell_length_a 5.185
_cell_length_b 5.185
_cell_length_c 5.095
_cell_angle_alpha 90.00
_cell_angle_beta 90.00
_cell_angle_gamma 90.00
loop_
_atom_site_label
_atom_site_type_symbol
_atom_site_fract_x
_atom_site_fract_y
_atom_site_fract_z
Ti1 Ti 0.000 0.000 0.000
Sb1 Sb 0.000 0.500 0.000
Te1 Te 0.000 0.000 0.500
Pt1 Pt 0.500 0.500 0.500
# Crystal system: tetragonal
# E_form (uncorrected), eV/atom: 0.513
# Energy, eV/atom: -4.5516

(7)
# HoHfAlRu, optimized geometry, DFT PBE-GGA
data_HoHfAlRu
_chemical_formula_sum 'Ho4 Hf4 Al4 Ru4'
_symmetry_space_group_name_H-M 'F -4 3 m'
_symmetry_Int_Tables_number 216
_symmetry_space_group_name_Hall 'F -4 2 3'
_cell_length_a 6.783
_cell_length_b 6.783
_cell_length_c 6.783
_cell_angle_alpha 90.00
_cell_angle_beta 90.00
_cell_angle_gamma 90.00
loop_
_atom_site_label
_atom_site_type_symbol
_atom_site_fract_x
_atom_site_fract_y
_atom_site_fract_z
Ho1 Ho 0.000 0.000 0.000
Hf1 Hf 0.000 0.000 0.500
Al1 Al 0.250 0.250 0.750
Ru1 Ru 0.250 0.250 0.250
# Crystal system: cubic
# Energy, eV/atom: -7.2417

(8)
# Er2CdOs, optimized geometry, DFT PBE-GGA
data_Er2CdOs
_chemical_formula_sum 'Er6 Cd3 Os3'
_symmetry_space_group_name_H-M 'R -3 m'
_symmetry_Int_Tables_number 166
_symmetry_space_group_name_Hall '-R 3 2"'
_cell_length_a 3.9421
_cell_length_b 3.9421
_cell_length_c 28.8520
_cell_angle_alpha 90.00
_cell_angle_beta 90.00
_cell_angle_gamma 120.00
loop_
_atom_site_label
_atom_site_type_symbol
_atom_site_fract_x
_atom_site_fract_y
_atom_site_fract_z
Er1 Er 0.0000 0.0000 0.1155
Cd1 Cd 0.0000 0.0000 0.0000
Os1 Os 0.0000 0.0000 0.5000
# Crystal system: trigonal
# Energy, eV/atom: -5.1575

(9)
# Ho8Ni2Bi, optimized geometry, DFT PBE-GGA
data_Ho8Ni2Bi
_chemical_formula_sum 'Ho16 Ni4 Bi2'
_symmetry_space_group_name_H-M 'C 1 2/m 1'
_symmetry_Int_Tables_number 12
_cell_length_a 8.592
_cell_length_b 13.187
_cell_length_c 5.410
_cell_angle_alpha 90.00
_cell_angle_beta 103.34
_cell_angle_gamma 90.00
loop_
_symmetry_equiv_pos_as_xyz
'x,y,z'
'-x,-y,-z'
'-x,y,-z'
'x,-y,z'
'x+1/2,y+1/2,z'
'-x+1/2,-y+1/2,-z'
'-x+1/2,y+1/2,-z'
'x+1/2,-y+1/2,z'
loop_
_atom_site_label
_atom_site_type_symbol
_atom_site_fract_x
_atom_site_fract_y
_atom_site_fract_z
Ho1 Ho 0.000 0.249 0.000
Ho2 Ho 0.101 0.000 0.796
Ho3 Ho 0.207 0.370 0.583
Ni1 Ni 0.000 0.197 0.500
Bi1 Bi 0.000 0.500 0.000
# Crystal system: monoclinic
# Energy, eV/atom: -4.9628

(10)
# RbNbAu2, optimized geometry, DFT PBE-GGA
data_RbNbAu2
_chemical_formula_sum 'Rb4 Nb4 Au8'
_symmetry_space_group_name_H-M 'I -4 2 d'
_symmetry_Int_Tables_number 122
_symmetry_space_group_name_Hall 'I -4 2bw'
_cell_length_a 8.125
_cell_length_b 8.125
_cell_length_c 7.626
_cell_angle_alpha 90.00
_cell_angle_beta 90.00
_cell_angle_gamma 90.00
loop_
_atom_site_label
_atom_site_type_symbol
_atom_site_fract_x
_atom_site_fract_y
_atom_site_fract_z
Rb1 Rb 0.000 0.000 0.000
Nb1 Nb 0.000 0.000 0.500
Au1 Au 0.169 0.250 0.625
# Crystal system: tetragonal
# Energy, eV/atom: -3.7907

(11)
# Cs3Rb2SnBr6, optimized geometry, DFT PBE-GGA
data_Cs3Rb2SnBr6
_chemical_formula_sum 'Cs6 Rb4 Sn2 Br12'
_symmetry_space_group_name_H-M 'C 1 2/m 1'
_symmetry_Int_Tables_number 12
_cell_length_a 8.611
_cell_length_b 16.146
_cell_length_c 8.373
_cell_angle_alpha 90.00
_cell_angle_beta 111.48
_cell_angle_gamma 90.00
loop_
_symmetry_equiv_pos_as_xyz
'x,y,z'
'-x,-y,-z'
'-x,y,-z'
'x,-y,z'
'x+1/2,y+1/2,z'
'-x+1/2,-y+1/2,-z'
'-x+1/2,y+1/2,-z'
'x+1/2,-y+1/2,z'
loop_
_atom_site_label
_atom_site_type_symbol
_atom_site_fract_x
_atom_site_fract_y
_atom_site_fract_z
Cs1 Cs 0.000 0.000 0.000
Cs2 Cs 0.000 0.337 0.000
Rb1 Rb 0.000 0.168 0.500
Sn1 Sn 0.000 0.500 0.500
Br1 Br 0.237 0.500 0.296
Br2 Br 0.246 0.329 0.735
# Crystal system: monoclinic
# E_form (uncorrected), eV/atom: -1.433
# Energy, eV/atom: -2.9780

(12)
# RbIn2ICl2, optimized geometry, DFT PBE-GGA
data_RbIn2ICl2
_chemical_formula_sum 'Rb2 In4 I2 Cl4'
_symmetry_space_group_name_H-M 'P 1 21/m 1'
_symmetry_Int_Tables_number 11
_cell_length_a 7.959
_cell_length_b 6.753
_cell_length_c 10.793
_cell_angle_alpha 90.00
_cell_angle_beta 103.78
_cell_angle_gamma 90.00
loop_
_symmetry_equiv_pos_as_xyz
'x,y,z'
'-x,-y,-z'
'-x,y+1/2,-z'
'x,-y+1/2,z'
loop_
_atom_site_label
_atom_site_type_symbol
_atom_site_fract_x
_atom_site_fract_y
_atom_site_fract_z
Rb1 Rb 0.230 0.250 0.064
In1 In 0.161 0.501 0.660
I1 I 0.131 0.750 0.253
Cl1 Cl 0.165 0.750 0.872
Cl2 Cl 0.401 0.250 0.820
# Crystal system: monoclinic
# E_form (uncorrected), eV/atom: -0.979
# Energy, eV/atom: -2.9265